Entry A
An optimized crystal structure of Mg2BiPd2. Source: Alexandria via LeMat-Bulk, functional GGA-PBE.

CIF file:
```
data_Mg2BiPd2
_symmetry_space_group_name_H-M 'P 1'
_symmetry_Int_Tables_number 1
_cell_length_a 4.0723
_cell_length_b 4.0723
_cell_length_c 6.8237
_cell_angle_alpha 72.64
_cell_angle_beta 72.64
_cell_angle_gamma 90.00
loop_
_symmetry_equiv_pos_as_xyz
'x,y,z'
loop_
_atom_site_label
_atom_site_type_symbol
_atom_site_fract_x
_atom_site_fract_y
_atom_site_fract_z
Mg1 Mg 0.2500 0.7500 0.5000
Mg2 Mg 0.7500 0.2500 0.5000
Pd1 Pd 0.3912 0.3912 0.2176
Pd2 Pd 0.6088 0.6088 0.7824
Bi1 Bi 0.0000 0.0000 0.0000
```

---

Entry B
An optimized crystal structure of Mg2BiPd2. Source: Alexandria via LeMat-Bulk, functional GGA-PBE.

CIF file:
```
data_Mg2BiPd2
_symmetry_space_group_name_H-M 'P 1'
_symmetry_Int_Tables_number 1
_cell_length_a 7.9106
_cell_length_b 7.9106
_cell_length_c 3.1012
_cell_angle_alpha 90.00
_cell_angle_beta 90.00
_cell_angle_gamma 90.00
loop_
_symmetry_equiv_pos_as_xyz
'x,y,z'
loop_
_atom_site_label
_atom_site_type_symbol
_atom_site_fract_x
_atom_site_fract_y
_atom_site_fract_z
Mg1 Mg 0.1323 0.3677 0.0000
Mg2 Mg 0.8677 0.6323 0.0000
Mg3 Mg 0.6323 0.1323 0.0000
Mg4 Mg 0.3677 0.8677 0.0000
Bi1 Bi 0.5000 0.5000 0.0000
Bi2 Bi 0.0000 0.0000 0.0000
Pd1 Pd 0.8423 0.3423 0.5000
Pd2 Pd 0.3423 0.1577 0.5000
Pd3 Pd 0.1577 0.6577 0.5000
Pd4 Pd 0.6577 0.8423 0.5000
```

---

Entry C
An optimized crystal structure of Mg2BiPd2. Source: Alexandria via LeMat-Bulk, functional GGA-PBE.

CIF file:
```
data_Mg2BiPd2
_symmetry_space_group_name_H-M 'P 1'
_symmetry_Int_Tables_number 1
_cell_length_a 7.6143
_cell_length_b 7.6143
_cell_length_c 3.3338
_cell_angle_alpha 90.00
_cell_angle_beta 90.00
_cell_angle_gamma 90.00
loop_
_symmetry_equiv_pos_as_xyz
'x,y,z'
loop_
_atom_site_label
_atom_site_type_symbol
_atom_site_fract_x
_atom_site_fract_y
_atom_site_fract_z
Mg1 Mg 0.6530 0.8470 0.5000
Mg2 Mg 0.1530 0.6530 0.5000
Mg3 Mg 0.8470 0.3470 0.5000
Mg4 Mg 0.3470 0.1530 0.5000
Bi1 Bi 0.5000 0.5000 0.0000
Bi2 Bi 0.0000 0.0000 0.0000
Pd1 Pd 0.8625 0.6375 0.0000
Pd2 Pd 0.6375 0.1375 0.0000
Pd3 Pd 0.3625 0.8625 0.0000
Pd4 Pd 0.1375 0.3625 0.0000
```

---

The structure with the most favorable energy is entry C; the runner-up is 0.084 eV/atom above it.

---

Entry A
An optimized crystal structure of Mg3BiPd. Source: Alexandria via LeMat-Bulk, functional GGA-PBE.

CIF file:
```
data_Mg3BiPd
_symmetry_space_group_name_H-M 'P 1'
_symmetry_Int_Tables_number 1
_cell_length_a 5.0049
_cell_length_b 5.0049
_cell_length_c 5.0049
_cell_angle_alpha 90.00
_cell_angle_beta 90.00
_cell_angle_gamma 90.00
loop_
_symmetry_equiv_pos_as_xyz
'x,y,z'
loop_
_atom_site_label
_atom_site_type_symbol
_atom_site_fract_x
_atom_site_fract_y
_atom_site_fract_z
Pd1 Pd 0.0000 0.0000 0.0000
Mg1 Mg 0.0000 0.5000 0.0000
Mg2 Mg 0.0000 0.0000 0.5000
Mg3 Mg 0.5000 0.0000 0.0000
Bi1 Bi 0.5000 0.5000 0.5000
```

---

Entry B
An optimized crystal structure of Mg3BiPd. Source: Alexandria via LeMat-Bulk, functional GGA-PBE.

CIF file:
```
data_Mg3BiPd
_symmetry_space_group_name_H-M 'P 1'
_symmetry_Int_Tables_number 1
_cell_length_a 5.3776
_cell_length_b 5.3776
_cell_length_c 5.3776
_cell_angle_alpha 90.00
_cell_angle_beta 90.00
_cell_angle_gamma 90.00
loop_
_symmetry_equiv_pos_as_xyz
'x,y,z'
loop_
_atom_site_label
_atom_site_type_symbol
_atom_site_fract_x
_atom_site_fract_y
_atom_site_fract_z
Mg1 Mg 0.0000 0.0000 0.5000
Mg2 Mg 0.0000 0.5000 0.0000
Mg3 Mg 0.5000 0.0000 0.0000
Pd1 Pd 0.5000 0.5000 0.5000
Bi1 Bi 0.0000 0.0000 0.0000
```

---

Entry C
An optimized crystal structure of Mg3BiPd. Source: Alexandria via LeMat-Bulk, functional GGA-PBE.

CIF file:
```
data_Mg3BiPd
_symmetry_space_group_name_H-M 'P 1'
_symmetry_Int_Tables_number 1
_cell_length_a 4.5580
_cell_length_b 6.5950
_cell_length_c 8.9304
_cell_angle_alpha 125.19
_cell_angle_beta 90.00
_cell_angle_gamma 90.00
loop_
_symmetry_equiv_pos_as_xyz
'x,y,z'
loop_
_atom_site_label
_atom_site_type_symbol
_atom_site_fract_x
_atom_site_fract_y
_atom_site_fract_z
Bi1 Bi 0.1955 0.4226 0.0753
Bi2 Bi 0.6955 0.9990 0.4788
Mg1 Mg 0.6955 0.7194 0.9990
Mg2 Mg 0.1955 0.3832 0.7159
Mg3 Mg 0.6955 0.0384 0.8382
Mg4 Mg 0.6955 0.3549 0.2657
Mg5 Mg 0.1955 0.0667 0.2883
Mg6 Mg 0.1955 0.7021 0.5551
Pd1 Pd 0.1955 0.8855 0.9316
Pd2 Pd 0.6955 0.5360 0.6225
```

---

The structure with the most favorable energy is entry C; the runner-up is 0.170 eV/atom above it.